# TbNdYTm2 | Alexandria | PBE | optimized geometry
# crystal system: orthorhombic
# formation enthalpy at 0 K: 36.10 kJ per mole of atoms
data_TbNdYTm2
_chemical_formula_sum 'Tb4 Nd4 Y4 Tm8'
_space_group_name_H-M_alt 'C m c m'
_space_group_IT_number 63
_space_group_name_Hall '-C 2c 2'
_cell_length_a 8.344
_cell_length_b 11.468
_cell_length_c 7.184
_cell_angle_alpha 90.00
_cell_angle_beta 90.00
_cell_angle_gamma 90.00
loop_
_atom_site_label
_atom_site_type_symbol
_atom_site_fract_x
_atom_site_fract_y
_atom_site_fract_z
Tb1 Tb 0.000 0.011 0.250
Nd1 Nd 0.000 0.279 0.250
Y1 Y 0.000 0.272 0.750
Tm1 Tm 0.189 0.500 0.000